Sc2InPb: relaxed, PBE.

Output
* total DFT energy (no corrections): -20.23 eV/cell
* DOS(E_F): 1.12 states/eV per atom

Unit cell a=9.650 b=9.650 c=9.650 alpha=20.81 beta=20.81 gamma=20.81
Element x y z (fractional)
In 0.250 0.250 0.250
Pb 0.750 0.750 0.750
Sc 0.998 0.998 0.998
Sc 0.502 0.502 0.502